{"formula": "LaLuIr2", "functional": "PBE", "state": "optimized geometry", "polymorph_energy_mev_per_atom": 39.5, "spacegroup": "No. 225", "formation_enthalpy_0k_kj_per_mol_fu": -266, "lattice_angstrom": [[0.0000, 3.4810, 3.4810], [3.4810, 0.0000, 3.4810], [3.4810, 3.4810, 0.0000]], "species": ["La", "Lu", "Ir", "Ir"], "frac_coords": [[0.0000, 0.0000, 0.0000], [0.5000, 0.5000, 0.5000], [0.2500, 0.2500, 0.2500], [0.7500, 0.7500, 0.7500]]}


{"formula": "LaLuIr", "functional": "PBE", "state": "optimized geometry", "polymorph_energy_mev_per_atom": 0.0, "spacegroup": "No. 216", "formation_enthalpy_0k_kj_per_mol_fu": -180, "lattice_angstrom": [[0.0000, 3.4527, 3.4527], [3.4527, 0.0000, 3.4527], [3.4527, 3.4527, 0.0000]], "species": ["La", "Lu", "Ir"], "frac_coords": [[0.0000, 0.0000, 0.0000], [0.5000, 0.5000, 0.5000], [0.2500, 0.2500, 0.2500]]}


{"formula": "LaLuMgIr", "functional": "PBE", "state": "optimized geometry", "spacegroup": "No. 216", "formation_enthalpy_0k_kj_per_mol_fu": -148, "lattice_angstrom": [[0.0000, 3.6116, 3.6116], [3.6116, 0.0000, 3.6116], [3.6116, 3.6116, 0.0000]], "species": ["La", "Lu", "Mg", "Ir"], "frac_coords": [[0.0000, 0.0000, 0.0000], [0.5000, 0.5000, 0.5000], [0.7500, 0.7500, 0.7500], [0.2500, 0.2500, 0.2500]]}


{"formula": "LaLuIrPt", "functional": "PBE", "state": "optimized geometry", "spacegroup": "No. 216", "formation_enthalpy_0k_kj_per_mol_fu": -357, "lattice_angstrom": [[0.0000, 3.5158, 3.5158], [3.5158, 0.0000, 3.5158], [3.5158, 3.5158, 0.0000]], "species": ["La", "Lu", "Ir", "Pt"], "frac_coords": [[0.0000, 0.0000, 0.0000], [0.5000, 0.5000, 0.5000], [0.7500, 0.7500, 0.7500], [0.2500, 0.2500, 0.2500]]}


{"formula": "LaLuIrRu", "functional": "PBE", "state": "optimized geometry", "spacegroup": "No. 216", "formation_enthalpy_0k_kj_per_mol_fu": -186, "lattice_angstrom": [[0.0000, 3.4625, 3.4625], [3.4625, 0.0000, 3.4625], [3.4625, 3.4625, 0.0000]], "species": ["La", "Lu", "Ir", "Ru"], "frac_coords": [[0.0000, 0.0000, 0.0000], [0.5000, 0.5000, 0.5000], [0.7500, 0.7500, 0.7500], [0.2500, 0.2500, 0.2500]]}


{"formula": "La2MgIr2", "functional": "PBE", "state": "optimized geometry", "spacegroup": "No. 139", "formation_enthalpy_0k_kj_per_mol_fu": -92, "lattice_angstrom": [[-2.0278, 2.0278, 8.6645], [2.0278, -2.0278, 8.6645], [2.0278, 2.0278, -8.6645]], "species": ["La", "La", "Mg", "Ir", "Ir"], "frac_coords": [[0.1357, 0.1357, 0.0000], [0.8643, 0.8643, 0.0000], [0.5000, 0.5000, 0.0000], [0.2500, 0.7500, 0.5000], [0.7500, 0.2500, 0.5000]]}


{"formula": "LaMg4Ir", "functional": "PBE", "state": "optimized geometry", "polymorph_energy_mev_per_atom": 328.1, "spacegroup": "No. 216", "formation_enthalpy_0k_kj_per_mol_fu": 5, "lattice_angstrom": [[0.0000, 4.0022, 4.0022], [4.0022, 0.0000, 4.0022], [4.0022, 4.0022, 0.0000]], "species": ["La", "Mg", "Mg", "Mg", "Mg", "Ir"], "frac_coords": [[0.0000, 0.0000, 0.0000], [0.1295, 0.6235, 0.6235], [0.6235, 0.1295, 0.6235], [0.6235, 0.6235, 0.1295], [0.6235, 0.6235, 0.6235], [0.2500, 0.2500, 0.2500]]}


{"formula": "LaMg3Ir2", "functional": "PBE", "state": "optimized geometry", "spacegroup": "No. 12", "formation_enthalpy_0k_kj_per_mol_fu": -250, "lattice_angstrom": [[8.2443, -2.0843, 0.0000], [8.2443, 2.0843, 0.0000], [-4.3691, 0.0000, 7.3886]], "species": ["La", "La", "Mg", "Mg", "Mg", "Mg", "Mg", "Mg", "Ir", "Ir", "Ir", "Ir"], "frac_coords": [[0.1435, 0.1435, 0.2122], [0.8565, 0.8565, 0.7878], [0.0409, 0.0409, 0.7086], [0.3193, 0.3193, 0.0925], [0.3867, 0.3867, 0.4921], [0.6133, 0.6133, 0.5079], [0.6807, 0.6807, 0.9075], [0.9591, 0.9591, 0.2914], [0.2084, 0.2084, 0.7248], [0.4965, 0.4965, 0.1444], [0.5035, 0.5035, 0.8556], [0.7916, 0.7916, 0.2752]]}


{"formula": "La23Mg4Ir7", "functional": "PBE", "state": "optimized geometry", "spacegroup": "No. 186", "formation_enthalpy_0k_kj_per_mol_fu": -1495, "lattice_angstrom": [[10.2358, 0.0000, 0.0000], [-5.1179, 8.8645, 0.0000], [0.0000, 0.0000, 23.0929]], "species": ["La", "La", "La", "La", "La", "La", "La", "La", "La", "La", "La", "La", "La", "La", "La", "La", "La", "La", "La", "La", "La", "La", "La", "La", "La", "La", "La", "La", "La", "La", "La", "La", "La", "La", "La", "La", "La", "La", "La", "La", "La", "La", "La", "La", "La", "La", "Mg", "Mg", "Mg", "Mg", "Mg", "Mg", "Mg", "Mg", "Ir", "Ir", "Ir", "Ir", "Ir", "Ir", "Ir", "Ir", "Ir", "Ir", "Ir", "Ir", "Ir", "Ir"], "frac_coords": [[0.0000, 0.0000, 0.0513], [0.0000, 0.0000, 0.5513], [0.0792, 0.5396, 0.1380], [0.0792, 0.5396, 0.4068], [0.1277, 0.2555, 0.6855], [0.1277, 0.8723, 0.6855], [0.2058, 0.4117, 0.8335], [0.2058, 0.7942, 0.8335], [0.2072, 0.4144, 0.2703], [0.2074, 0.4148, 0.5420], [0.2072, 0.7928, 0.2703], [0.2074, 0.7926, 0.5420], [0.2076, 0.4153, 0.0000], [0.2076, 0.7924, 0.0000], [0.2555, 0.1277, 0.1855], [0.3333, 0.6667, 0.6986], [0.4117, 0.2058, 0.3335], [0.4144, 0.2072, 0.7703], [0.4148, 0.2074, 0.0420], [0.4153, 0.2076, 0.5000], [0.4604, 0.5396, 0.1380], [0.4604, 0.5396, 0.4068], [0.4604, 0.9208, 0.1380], [0.4604, 0.9208, 0.4068], [0.5396, 0.0792, 0.6380], [0.5396, 0.0792, 0.9068], [0.5396, 0.4604, 0.6380], [0.5396, 0.4604, 0.9068], [0.5847, 0.7924, 0.0000], [0.5852, 0.7926, 0.5420], [0.5856, 0.7928, 0.2703], [0.5883, 0.7942, 0.8335], [0.6667, 0.3333, 0.1986], [0.7445, 0.8723, 0.6855], [0.7924, 0.2076, 0.5000], [0.7924, 0.5847, 0.5000], [0.7926, 0.2074, 0.0420], [0.7928, 0.2072, 0.7703], [0.7926, 0.5852, 0.0420], [0.7928, 0.5856, 0.7703], [0.7942, 0.2058, 0.3335], [0.7942, 0.5883, 0.3335], [0.8723, 0.1277, 0.1855], [0.8723, 0.7445, 0.1855], [0.9208, 0.4604, 0.6380], [0.9208, 0.4604, 0.9068], [0.0000, 0.0000, 0.3016], [0.0000, 0.0000, 0.8016], [0.1048, 0.2096, 0.4140], [0.1048, 0.8952, 0.4140], [0.2096, 0.1048, 0.9140], [0.7904, 0.8952, 0.4140], [0.8952, 0.1048, 0.9140], [0.8952, 0.7904, 0.9140], [0.0393, 0.5197, 0.7633], [0.1441, 0.2882, 0.1144], [0.1441, 0.8559, 0.1144], [0.2882, 0.1441, 0.6144], [0.3333, 0.6667, 0.9173], [0.4803, 0.5197, 0.7633], [0.4803, 0.9607, 0.7633], [0.5197, 0.0393, 0.2633], [0.5197, 0.4803, 0.2633], [0.6667, 0.3333, 0.4173], [0.7118, 0.8559, 0.1144], [0.8559, 0.1441, 0.6144], [0.8559, 0.7118, 0.6144], [0.9607, 0.4803, 0.2633]]}


{"formula": "La2Mg2Ir", "functional": "PBE", "state": "optimized geometry", "spacegroup": "No. 127", "formation_enthalpy_0k_kj_per_mol_fu": -36, "lattice_angstrom": [[6.9241, 0.0000, 0.0000], [0.0000, 6.9241, 0.0000], [0.0000, 0.0000, 5.2799]], "species": ["La", "La", "La", "La", "Mg", "Mg", "Mg", "Mg", "Ir", "Ir"], "frac_coords": [[0.1752, 0.3248, 0.0000], [0.3248, 0.8248, 0.0000], [0.6752, 0.1752, 0.0000], [0.8248, 0.6752, 0.0000], [0.1487, 0.6487, 0.5000], [0.3513, 0.1487, 0.5000], [0.6487, 0.8513, 0.5000], [0.8513, 0.3513, 0.5000], [0.0000, 0.0000, 0.5000], [0.5000, 0.5000, 0.5000]]}


{"formula": "LaMgIr3", "functional": "PBE", "state": "optimized geometry", "polymorph_energy_mev_per_atom": 1085.5, "spacegroup": "No. 221", "formation_enthalpy_0k_kj_per_mol_fu": 755, "lattice_angstrom": [[4.9582, 0.0000, 0.0000], [0.0000, 4.9582, 0.0000], [0.0000, 0.0000, 4.9582]], "species": ["La", "Mg", "Ir", "Ir", "Ir"], "frac_coords": [[0.0000, 0.0000, 0.0000], [0.5000, 0.5000, 0.5000], [0.0000, 0.0000, 0.5000], [0.0000, 0.5000, 0.0000], [0.5000, 0.0000, 0.0000]]}


{"formula": "La2MgIr9", "functional": "PBE", "state": "optimized geometry", "spacegroup": "No. 166", "formation_enthalpy_0k_kj_per_mol_fu": -362, "lattice_angstrom": [[2.6614, 1.5366, 8.9686], [-2.6614, 1.5366, 8.9686], [0.0000, -3.0731, 8.9686]], "species": ["La", "La", "Mg", "Ir", "Ir", "Ir", "Ir", "Ir", "Ir", "Ir", "Ir", "Ir"], "frac_coords": [[0.1376, 0.1376, 0.1376], [0.8624, 0.8624, 0.8624], [0.0000, 0.0000, 0.0000], [0.0828, 0.5783, 0.5783], [0.3321, 0.3321, 0.3321], [0.4217, 0.4217, 0.9172], [0.4217, 0.9172, 0.4217], [0.5000, 0.5000, 0.5000], [0.5783, 0.0828, 0.5783], [0.5783, 0.5783, 0.0828], [0.6679, 0.6679, 0.6679], [0.9172, 0.4217, 0.4217]]}


{"formula": "La2MgIr2", "functional": "PBE", "state": "optimized geometry", "spacegroup": "No. 15", "formation_enthalpy_0k_kj_per_mol_fu": -313, "lattice_angstrom": [[5.2053, -2.8536, 0.0000], [5.2053, 2.8536, 0.0000], [-2.6548, 0.0000, 7.9435]], "species": ["La", "La", "La", "La", "Mg", "Mg", "Ir", "Ir", "Ir", "Ir"], "frac_coords": [[0.0031, 0.7044, 0.8518], [0.2956, 0.9969, 0.6482], [0.7044, 0.0031, 0.3518], [0.9969, 0.2956, 0.1482], [0.3792, 0.6208, 0.2500], [0.6208, 0.3792, 0.7500], [0.2081, 0.5145, 0.4790], [0.4855, 0.7919, 0.0210], [0.5145, 0.2081, 0.9790], [0.7919, 0.4855, 0.5210]]}


{"formula": "La3MgIr2", "functional": "PBE", "state": "optimized geometry", "spacegroup": "No. 12", "formation_enthalpy_0k_kj_per_mol_fu": -353, "lattice_angstrom": [[7.6101, -3.6686, 0.0000], [7.6101, 3.6686, 0.0000], [-3.0692, 0.0000, 6.1169]], "species": ["La", "La", "La", "La", "La", "La", "Mg", "Mg", "Ir", "Ir", "Ir", "Ir"], "frac_coords": [[0.0274, 0.5272, 0.2773], [0.2500, 0.7500, 0.0000], [0.4728, 0.9726, 0.7227], [0.5272, 0.0274, 0.2773], [0.7500, 0.2500, 0.0000], [0.9726, 0.4728, 0.7227], [0.0000, 0.0000, 0.5000], [0.5000, 0.5000, 0.5000], [0.1365, 0.1365, 0.3510], [0.3635, 0.3635, 0.0782], [0.6365, 0.6365, 0.9218], [0.8635, 0.8635, 0.6490]]}


{"formula": "LaMgIr3", "functional": "PBE", "state": "optimized geometry", "polymorph_energy_mev_per_atom": 0.0, "spacegroup": "No. 221", "formation_enthalpy_0k_kj_per_mol_fu": 232, "lattice_angstrom": [[4.6439, 0.0000, 0.0000], [0.0000, 4.6439, 0.0000], [0.0000, 0.0000, 4.6439]], "species": ["La", "Mg", "Ir", "Ir", "Ir"], "frac_coords": [[0.0000, 0.0000, 0.0000], [0.5000, 0.5000, 0.5000], [0.0000, 0.5000, 0.5000], [0.5000, 0.0000, 0.5000], [0.5000, 0.5000, 0.0000]]}


{"formula": "LaMg4Ir", "functional": "PBE", "state": "optimized geometry", "polymorph_energy_mev_per_atom": 0.0, "spacegroup": "No. 51", "formation_enthalpy_0k_kj_per_mol_fu": -185, "lattice_angstrom": [[8.6256, 0.0000, 0.0000], [0.0000, 4.3672, 0.0000], [0.0000, 0.0000, 7.5105]], "species": ["La", "La", "Mg", "Mg", "Mg", "Mg", "Mg", "Mg", "Mg", "Mg", "Ir", "Ir"], "frac_coords": [[0.2500, 0.0000, 0.0858], [0.7500, 0.0000, 0.9142], [0.0000, 0.0000, 0.5000], [0.0645, 0.5000, 0.7956], [0.2500, 0.5000, 0.4645], [0.4355, 0.5000, 0.7956], [0.5000, 0.0000, 0.5000], [0.5645, 0.5000, 0.2044], [0.7500, 0.5000, 0.5355], [0.9355, 0.5000, 0.2044], [0.2500, 0.0000, 0.7154], [0.7500, 0.0000, 0.2846]]}


{"formula": "La3MgIr8", "functional": "PBE", "state": "optimized geometry", "spacegroup": "No. 160", "formation_enthalpy_0k_kj_per_mol_fu": -682, "lattice_angstrom": [[2.7110, 1.5652, 8.8576], [-2.7110, 1.5652, 8.8576], [0.0000, -3.1304, 8.8576]], "species": ["La", "La", "La", "Mg", "Ir", "Ir", "Ir", "Ir", "Ir", "Ir", "Ir", "Ir"], "frac_coords": [[0.0000, 0.0000, 0.0000], [0.1268, 0.1268, 0.1268], [0.6216, 0.6216, 0.6216], [0.4980, 0.4980, 0.4980], [0.0608, 0.0608, 0.5596], [0.0608, 0.5596, 0.0608], [0.0659, 0.5627, 0.5627], [0.3121, 0.3121, 0.3121], [0.5596, 0.0608, 0.0608], [0.5627, 0.0659, 0.5627], [0.5627, 0.5627, 0.0659], [0.8123, 0.8123, 0.8123]]}


{"formula": "NaLa2MgIr", "functional": "PBE", "state": "optimized geometry", "polymorph_energy_mev_per_atom": 169.8, "spacegroup": "No. 123", "formation_enthalpy_0k_kj_per_mol_fu": -66, "lattice_angstrom": [[5.5026, 0.0000, 0.0000], [0.0000, 5.5026, 0.0000], [0.0000, 0.0000, 5.6793]], "species": ["Na", "La", "La", "Mg", "Ir"], "frac_coords": [[0.0000, 0.0000, 0.0000], [0.0000, 0.5000, 0.5000], [0.5000, 0.0000, 0.5000], [0.5000, 0.5000, 0.0000], [0.0000, 0.0000, 0.5000]]}


{"formula": "NaLa2MgIr", "functional": "PBE", "state": "optimized geometry", "polymorph_energy_mev_per_atom": 0.0, "spacegroup": "No. 123", "formation_enthalpy_0k_kj_per_mol_fu": -147, "lattice_angstrom": [[5.5866, 0.0000, 0.0000], [0.0000, 5.5866, 0.0000], [0.0000, 0.0000, 5.3250]], "species": ["Na", "La", "La", "Mg", "Ir"], "frac_coords": [[0.0000, 0.0000, 0.0000], [0.0000, 0.5000, 0.5000], [0.5000, 0.0000, 0.5000], [0.5000, 0.5000, 0.0000], [0.5000, 0.5000, 0.5000]]}


{"formula": "La2MgIrO6", "functional": "PBE", "state": "optimized geometry", "spacegroup": "No. 14", "energy_ev_per_atom": -7.527, "lattice_angstrom": [[5.5929, 0.0000, 0.0000], [0.0000, 5.7253, 0.0000], [-5.5910, 0.0000, 7.9609]], "species": ["La", "La", "La", "La", "Mg", "Mg", "Ir", "Ir", "O", "O", "O", "O", "O", "O", "O", "O", "O", "O", "O", "O"], "frac_coords": [[0.2394, 0.0498, 0.2507], [0.2394, 0.4502, 0.7507], [0.7606, 0.5498, 0.2493], [0.7606, 0.9502, 0.7493], [0.5000, 0.0000, 0.0000], [0.5000, 0.5000, 0.5000], [0.0000, 0.0000, 0.5000], [0.0000, 0.5000, 0.0000], [0.1540, 0.2103, 0.9527], [0.1540, 0.2897, 0.4527], [0.2460, 0.7049, 0.9535], [0.2460, 0.7951, 0.4535], [0.3356, 0.0230, 0.7481], [0.3356, 0.4770, 0.2481], [0.6644, 0.5230, 0.7519], [0.6644, 0.9770, 0.2519], [0.7540, 0.2049, 0.5465], [0.7540, 0.2951, 0.0465], [0.8460, 0.7103, 0.5473], [0.8460, 0.7897, 0.0473]]}


{"formula": "LaMg2IrO8", "functional": "PBE", "state": "optimized geometry", "spacegroup": "No. 10", "energy_ev_per_atom": -6.385, "lattice_angstrom": [[4.4800, 0.0000, 0.0000], [0.0000, 6.8357, 0.0000], [-0.0043, 0.0000, 4.7815]], "species": ["La", "Mg", "Mg", "Ir", "O", "O", "O", "O", "O", "O", "O", "O"], "frac_coords": [[0.0000, 0.0000, 0.0000], [0.5000, 0.2682, 0.5000], [0.5000, 0.7318, 0.5000], [0.0000, 0.5000, 0.0000], [0.2430, 0.5000, 0.6763], [0.2440, 0.2970, 0.1488], [0.2440, 0.7030, 0.1488], [0.2664, 0.0000, 0.5442], [0.7336, 0.0000, 0.4558], [0.7560, 0.2970, 0.8512], [0.7560, 0.7030, 0.8512], [0.7570, 0.5000, 0.3237]]}